Here is a relaxed structure of Dy2Tm3Al3 from OQMD. Energies are from GGA-PBE.

Geometry as extended XYZ:
```
8
Lattice="6.8139 0.0000 0.0000 -3.4070 5.9011 0.0000 0.0000 0.0000 5.0838" Properties=species:S:1:pos:R:3 pbc="T T T"
Dy 0.0000 0.0000 0.0000
Dy 0.0000 3.9340 2.5419
Tm 1.7803 1.0279 2.5419
Tm 5.0336 1.0279 2.5419
Tm 3.4070 3.8453 2.5419
Al 3.4070 0.2794 0.0000
Al 1.9455 2.8108 0.0000
Al 4.8685 2.8108 0.0000
```

Calculated values
E in eV for the cell shown: -35.0
Symmetry: No. 187
Relative energy among the computed polymorphs in eV/atom: 0.108


Here is a relaxed structure of Lu3Ga9Pd2 from OQMD. Energies are from GGA-PBE.

Geometry as extended XYZ:
```
14
Lattice="-2.1275 4.7286 6.1861 2.1275 -4.7286 6.1861 2.1275 4.7286 -6.1861" Properties=species:S:1:pos:R:3 pbc="T T T"
Lu 0.0000 0.0000 0.0000
Lu 0.0000 0.0000 3.7142
Lu 0.0000 0.0000 8.6579
Ga 2.1275 -1.2500 1.9211
Ga 2.1275 -2.0570 4.4730
Ga 2.1275 1.2500 1.9211
Ga 0.0000 2.6716 1.7130
Ga 0.0000 4.7286 0.0000
Ga 2.1275 2.0570 4.4730
Ga 0.0000 3.4786 4.2649
Ga 0.0000 6.7856 1.7130
Ga 0.0000 5.9786 4.2649
Pd 2.1275 3.0078 0.0000
Pd 0.0000 1.7208 6.1861
```

Calculated values
E in eV for the cell shown: -59.6
Symmetry: No. 71


Here is a relaxed structure of RbZrSc from OQMD. Energies are from GGA-PBE.

Geometry as extended XYZ:
```
3
Lattice="0.0000 3.9238 3.9238 3.9238 0.0000 3.9238 3.9238 3.9238 0.0000" Properties=species:S:1:pos:R:3 pbc="T T T"
Rb 0.0000 0.0000 0.0000
Zr 3.9238 3.9238 3.9238
Sc 1.9619 1.9619 1.9619
```

Calculated values
E in eV for the cell shown: -11.2
Symmetry: No. 216
Relative energy among the computed polymorphs in eV/atom: 0.000


Here is a relaxed structure of InFeAgTeS2 from OQMD. Energies are from GGA-PBE.

Geometry as extended XYZ:
```
12
Lattice="1.6485 -7.5527 0.0000 1.6485 7.5527 0.0000 0.0000 0.0000 10.4253" Properties=species:S:1:pos:R:3 pbc="T T T"
In 1.6485 4.7346 7.8190
In 1.6485 -4.7346 2.6063
Fe 1.6485 0.0000 0.0000
Fe 1.6485 0.0000 5.2127
Ag 1.6485 5.1273 2.6063
Ag 1.6485 -5.1273 7.8190
Te 1.6485 0.2339 2.6063
Te 1.6485 -0.2339 7.8190
S 1.6485 5.9631 0.0819
S 1.6485 5.9631 5.1308
S 1.6485 -5.9631 5.2945
S 1.6485 -5.9631 10.3434
```

Calculated values
E in eV for the cell shown: -52.2
Symmetry: No. 63


Here is a relaxed structure of PrNdAsBr from OQMD. Energies are from GGA-PBE.

Geometry as extended XYZ:
```
8
Lattice="4.2174 0.0000 0.0000 -2.1087 3.6524 0.0000 0.0000 0.0000 14.8995" Properties=species:S:1:pos:R:3 pbc="T T T"
Pr 0.0000 2.4349 1.5881
Pr 2.1087 1.2175 13.3115
Nd 0.0000 2.4349 5.8970
Nd 2.1087 1.2175 9.0025
As 0.0000 0.0000 0.0000
As 0.0000 0.0000 7.4498
Br 0.0000 2.4349 11.1336
Br 2.1087 1.2175 3.7659
```

Calculated values
E in eV for the cell shown: -43.2
Symmetry: No. 164


Here is a relaxed structure of BeGaCuHg from OQMD. Energies are from GGA-PBE.

Geometry as extended XYZ:
```
4
Lattice="0.0000 3.1186 3.1186 3.1186 0.0000 3.1186 3.1186 3.1186 0.0000" Properties=species:S:1:pos:R:3 pbc="T T T"
Be 0.0000 0.0000 0.0000
Ga 3.1186 3.1186 3.1186
Cu 4.6779 4.6779 4.6779
Hg 1.5593 1.5593 1.5593
```

Calculated values
E in eV for the cell shown: -9.1
Symmetry: No. 216
Relative energy among the computed polymorphs in eV/atom: 0.061


Here is a relaxed structure of Er2Zn3Pd4 from OQMD. Energies are from GGA-PBE.

Geometry as extended XYZ:
```
18
Lattice="2.7833 -7.5151 0.0000 2.7833 7.5151 0.0000 0.0000 0.0000 7.6198" Properties=species:S:1:pos:R:3 pbc="T T T"
Er 2.7833 5.8202 7.0019
Er 2.7833 1.6949 3.1920
Er 2.7833 -1.6949 4.4278
Er 2.7833 -5.8202 0.6179
Zn 0.0000 0.0000 3.8099
Zn 1.3916 3.4188 5.7149
Zn 1.3916 -3.4188 1.9050
Zn 2.7833 0.0000 0.0000
Zn 4.1749 3.4188 5.7149
Zn 4.1749 -3.4188 1.9050
Pd 2.7833 4.8532 4.0000
Pd 1.3916 0.8443 5.7149
Pd 1.3916 -0.8443 1.9050
Pd 2.7833 2.6619 0.1901
Pd 2.7833 -2.6619 7.4297
Pd 4.1749 0.8443 5.7149
Pd 4.1749 -0.8443 1.9050
Pd 2.7833 -4.8532 3.6198
```

Calculated values
E in eV for the cell shown: -80.7
Symmetry: No. 64


Here is a relaxed structure of ReAg2Ge from OQMD. Energies are from GGA-PBE.

Geometry as extended XYZ:
```
4
Lattice="0.0000 3.1929 3.1929 3.1929 0.0000 3.1929 3.1929 3.1929 0.0000" Properties=species:S:1:pos:R:3 pbc="T T T"
Re 0.0000 0.0000 0.0000
Ag 1.5964 1.5964 1.5964
Ag 3.1929 3.1929 3.1929
Ge 4.7893 4.7893 4.7893
```

Calculated values
E in eV for the cell shown: -20.2
Symmetry: No. 216


Here is a relaxed structure of NaSiNiB from OQMD. Energies are from GGA-PBE.

Geometry as extended XYZ:
```
4
Lattice="0.0000 2.8863 2.8863 2.8863 0.0000 2.8863 2.8863 2.8863 0.0000" Properties=species:S:1:pos:R:3 pbc="T T T"
Na 0.0000 0.0000 0.0000
Si 2.8863 2.8863 2.8863
Ni 1.4431 1.4431 1.4431
B 4.3294 4.3294 4.3294
```

Calculated values
E in eV for the cell shown: -16.1
Symmetry: No. 216
Relative energy among the computed polymorphs in eV/atom: 0.022


Here is a relaxed structure of Cu3C from OQMD. Energies are from GGA-PBE.

Geometry as extended XYZ:
```
16
Lattice="5.3926 0.0000 0.0000 0.0000 6.7028 0.0000 0.0000 0.0000 4.7311" Properties=species:S:1:pos:R:3 pbc="T T T"
Cu 0.4781 1.6757 1.0036
Cu 0.8296 0.4496 3.2765
Cu 0.8296 2.9017 3.2765
Cu 1.8667 3.8010 0.9109
Cu 1.8667 6.2531 0.9109
Cu 2.2182 5.0271 3.3691
Cu 3.1744 1.6757 1.3620
Cu 3.5259 0.4496 3.8202
Cu 3.5259 2.9017 3.8202
Cu 4.5630 3.8010 1.4546
Cu 4.5630 6.2531 1.4546
Cu 4.9145 5.0271 3.7275
C 0.7361 5.0271 2.1378
C 1.9602 1.6757 4.5033
C 3.4324 5.0271 0.2278
C 4.6565 1.6757 2.5933
```

Calculated values
E in eV for the cell shown: -72.0
Symmetry: No. 62


Calculated density: 7414 9107 3046 6016 6367 9386 9965 12106 4164 7871 (kg/m3)